(1)
Entry from the Alexandria database: a crystal of SrGe3Pt relaxed with PBEsol (SCAN).

## Properties
ρ	8.22	Mg/m³
D(E_F)	1.58	states/eV per cell
E_form	-0.768	eV/atom
volume	20.221	Å³/atom
total moment	0.00	μB per formula unit

Structure (POSCAR):
```
SrGe3Pt
1.0
-0.8001 4.3629 0.6021
-3.0609 -0.9909 3.1122
5.5002 -1.5230 1.7056
Ge Pt Sr
3 1 1
direct
0.7442 0.2442 0.4883
0.5976 0.5976 0.1952
0.2442 0.7442 0.4883
0.3543 0.3543 0.7085
0.9998 0.9998 0.9996
```

(2)
Entry from the Alexandria database: a crystal of Fe2AsOs relaxed with PBEsol (SCAN).

## Properties
ρ	12.56	Mg/m³
D(E_F)	2.81	states/eV per cell
E_form	0.152	eV/atom
volume	12.456	Å³/atom
total moment	4.72	μB per formula unit

Structure (POSCAR):
```
Fe2AsOs
1.0
-2.0481 1.4446 -1.1373
-1.5038 -3.4209 -1.6370
-2.4719 -0.6491 3.6273
Fe As Os
2 1 1
direct
0.0000 0.0000 0.0250
0.0000 0.5000 0.7454
0.5000 0.5000 0.1945
0.5000 0.0000 0.5351
```

(3)
Entry from the Alexandria database: a crystal of Al2ReMo relaxed with PBEsol (SCAN).

## Properties
ρ	9.59	Mg/m³
D(E_F)	1.89	states/eV per cell
E_form	-0.193	eV/atom
volume	14.552	Å³/atom
total moment	0.00	μB per formula unit
offset from the most stable computed form	192	meV per atom

Structure (POSCAR):
```
Al2ReMo
1.0
-1.0418 -1.1463 2.7708
1.8351 -3.6673 -0.8272
3.6670 1.3939 1.9554
Re Mo Al
1 1 2
direct
0.0000 0.5000 0.5000
0.5000 0.5000 0.0000
0.5000 0.0000 0.5000
0.0000 0.0000 0.0000
```

(4)
Entry from the Alexandria database: a crystal of CoSbPb2 relaxed with PBEsol (SCAN).

## Properties
ρ	10.49	Mg/m³
E_tot	-51.058	eV/atom
D(E_F)	1.49	states/eV per cell
volume	23.541	Å³/atom
total moment	2.01	μB per formula unit

Structure (POSCAR):
```
CoSbPb2
1.0
-0.3045 -2.9483 3.3176
4.4359 -0.3124 0.1295
0.1574 3.5473 3.1668
Pb Sb Co
2 1 1
direct
0.0000 0.5000 0.0000
0.5000 0.0000 0.0000
0.5000 0.5000 0.5000
0.0000 0.0000 0.5000
```

(5)
Entry from the Alexandria database: a crystal of TeWSe2Br relaxed with PBEsol (SCAN).

## Properties
ρ	7.71	Mg/m³
D(E_F)	4.47	states/eV per cell
volume	23.671	Å³/atom
total moment	0.00	μB per formula unit
offset from the most stable computed form	0	meV per atom

Structure (POSCAR):
```
TeWSe2Br
1.0
-3.0883 -3.6902 0.9090
3.2593 -1.9692 3.0790
-1.9699 2.5666 3.7267
Te Se W Br
1 2 1 1
direct
0.5000 0.5000 0.5000
0.5000 0.0000 0.0000
0.0000 0.5000 0.0000
0.0000 0.0000 0.0000
0.0000 0.0000 0.5000
```

(6)
Entry from the Alexandria database: a crystal of CrReW2 relaxed with PBEsol (SCAN).

## Properties
ρ	17.42	Mg/m³
D(E_F)	2.96	states/eV per cell
E_form	0.047	eV/atom
volume	14.440	Å³/atom
total moment	0.00	μB per formula unit
offset from the most stable computed form	54	meV per atom

Structure (POSCAR):
```
CrReW2
1.0
2.6788 0.0000 -0.0001
0.0000 4.3016 0.0000
-0.8912 0.0000 5.0124
Cr Re W
1 1 2
direct
0.5000 0.5000 0.0000
0.0000 0.5000 0.5000
0.7439 0.0000 0.7550
0.2561 0.0000 0.2450
```

(7)
Entry from the Alexandria database: a crystal of Ba2IrW relaxed with PBEsol (SCAN).

## Properties
ρ	11.31	Mg/m³
D(E_F)	3.14	states/eV per cell
E_form	1.527	eV/atom
volume	23.891	Å³/atom
total moment	0.00	μB per formula unit
offset from the most stable computed form	1456	meV per atom

Structure (POSCAR):
```
Ba2IrW
1.0
3.2006 0.0000 0.0000
1.6003 2.7718 0.0000
1.6003 0.9239 10.7724
Ba Ir W
2 1 1
direct
0.2445 0.2445 0.2666
0.7555 0.7555 0.7334
0.5000 0.5000 0.5000
0.0000 0.0000 0.0000
```

(8)
Entry from the Alexandria database: a crystal of MnFe3 relaxed with PBEsol (SCAN).

## Properties
ρ	8.59	Mg/m³
D(E_F)	4.43	states/eV per cell
E_form	0.027	eV/atom
volume	10.752	Å³/atom
total moment	4.65	μB per formula unit

Structure (POSCAR):
```
MnFe3
1.0
-2.8536 -3.1292 -1.2452
2.8445 -3.1132 1.3049
-1.8032 0.0412 4.0290
Fe Mn
6 2
direct
0.5000 0.0000 0.7500
0.2500 0.5000 0.0000
0.7500 0.5000 0.0000
0.0000 0.7500 0.5000
0.0000 0.2500 0.5000
0.5000 0.0000 0.2500
0.0000 0.0000 0.0000
0.5000 0.5000 0.5000
```

(9)
Entry from the Alexandria database: a crystal of K2LiAlH6 relaxed with PBEsol (SCAN).

## Properties
ρ	1.71	Mg/m³
E_tot	-5.127	eV/atom
D(E_F)	0.00	states/eV per cell
volume	11.495	Å³/atom
total moment	0.00	μB per formula unit

Structure (POSCAR):
```
K2LiAlH6
1.0
5.4577 0.0000 0.0000
2.7289 4.7265 0.0000
2.7289 1.5755 4.4562
Li Al H K
1 1 6 2
direct
0.5000 0.5000 0.5000
0.0000 0.0000 0.0000
0.2311 0.7689 0.7689
0.2311 0.7689 0.2311
0.2311 0.2311 0.7689
0.7689 0.7689 0.2311
0.7689 0.2311 0.2311
0.7689 0.2311 0.7689
0.7500 0.7500 0.7500
0.2500 0.2500 0.2500
```

(10)
Entry from the Alexandria database: a crystal of ScU3Sb5 relaxed with PBEsol (SCAN).

## Properties
ρ	10.50	Mg/m³
E_tot	-57.178	eV/atom
D(E_F)	35.32	states/eV per cell
volume	24.034	Å³/atom
total moment	7.71	μB per formula unit

Structure (POSCAR):
```
ScU3Sb5
1.0
6.0996 0.0000 0.0000
0.0000 9.0497 0.0000
0.0000 -4.5248 7.8372
Sb U Sc
10 6 2
direct
0.0000 0.6667 0.3333
0.0000 0.3333 0.6667
0.5000 0.6667 0.3333
0.2500 0.2697 0.2697
0.7500 0.2697 0.0000
0.2500 0.0000 0.7303
0.2500 0.7303 0.0000
0.5000 0.3333 0.6667
0.7500 0.7303 0.7303
0.7500 0.0000 0.2697
0.2500 0.6116 0.6116
0.7500 0.3884 0.3884
0.2500 0.3884 0.0000
0.7500 0.0000 0.6116
0.2500 0.0000 0.3884
0.7500 0.6116 0.0000
0.5000 0.0000 0.0000
0.0000 0.0000 0.0000
```

(11)
Entry from the Alexandria database: a crystal of Li2CdPb relaxed with PBEsol (SCAN).

## Properties
ρ	6.84	Mg/m³
D(E_F)	0.29	states/eV per cell
E_form	-0.373	eV/atom
volume	20.251	Å³/atom
total moment	0.00	μB per formula unit
offset from the most stable computed form	0	meV per atom

Structure (POSCAR):
```
Li2CdPb
1.0
4.8967 0.0000 0.0000
-2.4483 4.1707 0.1125
0.0000 2.7655 4.0409
Li Pb Cd
2 1 1
direct
0.2500 0.5000 0.2500
0.0000 0.0000 0.0000
0.5000 0.0000 0.5000
0.7500 0.5000 0.7500
```

(12)
Entry from the Alexandria database: a crystal of Ge2W relaxed with PBEsol (SCAN).

## Properties
ρ	11.72	Mg/m³
D(E_F)	1.30	states/eV per cell
E_form	0.045	eV/atom
volume	15.539	Å³/atom
total moment	0.00	μB per formula unit

Structure (POSCAR):
```
Ge2W
1.0
-1.5370 0.4608 3.0441
-5.6615 -1.0218 -2.7038
0.7267 -8.3361 1.6287
Ge W
8 4
direct
0.7500 0.0632 0.6320
0.2500 0.8658 0.9590
0.2500 0.9368 0.3680
0.7500 0.5632 0.8680
0.7500 0.1342 0.0410
0.2500 0.3658 0.5410
0.2500 0.4368 0.1320
0.7500 0.6342 0.4590
0.2500 0.2506 0.8293
0.7500 0.2494 0.3293
0.7500 0.7494 0.1707
0.2500 0.7506 0.6707
```